(1)
The following is a PBE calculation of crystalline Be2FeTc at its relaxed geometry, from Alexandria via LeMat-Bulk.

Lattice parameters (Å, degrees): 3.018 2.502 6.067 65.50 90.00 90.00
Last column: magnetic moment on the atom in μB.
Sites, in units of the cell vectors:
1 Be 0.000 0.975 0.025  -0.04
2 Be 0.000 0.525 0.475  -0.04
3 Fe 0.500 0.250 0.250  2.02
4 Tc 0.500 0.750 0.750  0.25

Summary:
D(E_F) (states/eV/atom): 0.57
Polymorph energy (0 for the lowest one) (meV per atom): 54
Space-group type: P2/m, No. 10

---

(2)
The following is a PBE calculation of crystalline Be9Fe2Tc at its relaxed geometry, from Alexandria via LeMat-Bulk.

Lattice parameters (Å, degrees): 4.223 4.223 7.166 72.86 72.86 60.00
Last column: magnetic moment on the atom in μB.
Sites, in units of the cell vectors:
1 Be 0.586 0.081 0.747  -0.02
2 Be 0.666 0.666 0.001  0.01
3 Be 0.586 0.586 0.747  -0.02
4 Be 0.919 0.414 0.253  -0.02
5 Be 0.414 0.414 0.253  -0.02
6 Be 0.414 0.919 0.253  -0.02
7 Be 0.334 0.334 0.999  0.01
8 Be 0.081 0.586 0.747  -0.02
9 Be 0.500 0.500 0.500  -0.05
10 Fe 0.146 0.146 0.561  2.15
11 Fe 0.854 0.854 0.439  2.15
12 Tc 0.000 0.000 0.000  0.21

Summary:
D(E_F) (states/eV/atom): 0.36
Space-group type: R-3m, No. 166

---

(3)
The following is a PBE calculation of crystalline Be3FeTc at its relaxed geometry, from Alexandria via LeMat-Bulk.

Lattice parameters (Å, degrees): 4.111 4.111 4.111 90.00 90.00 90.00
Last column: magnetic moment on the atom in μB.
Sites, in units of the cell vectors:
1 Be 0.000 0.500 0.000  -0.03
2 Be 0.000 0.000 0.500  -0.04
3 Be 0.500 0.000 0.000  -0.01
4 Fe 0.500 0.500 0.500  3.19
5 Tc 0.000 0.000 0.000  0.40

Summary:
D(E_F) (states/eV/atom): 0.83
Polymorph energy (0 for the lowest one) (meV per atom): 384
Space-group type: Pm-3m, No. 221

---

(4)
The following is a PBE calculation of crystalline Be2FeTc at its relaxed geometry, from Alexandria via LeMat-Bulk.

Lattice parameters (Å, degrees): 3.181 3.669 3.669 90.00 90.00 90.00
Last column: magnetic moment on the atom in μB.
Sites, in units of the cell vectors:
1 Fe 0.500 0.500 0.000  2.56
2 Tc 0.500 0.000 0.500  0.68
3 Be 0.000 0.000 0.000  -0.02
4 Be 0.000 0.500 0.500  -0.02

Summary:
D(E_F) (states/eV/atom): 0.44
Polymorph energy (0 for the lowest one) (meV per atom): 41
Space-group type: P4/mmm, No. 123

---

(5)
The following is a PBE calculation of crystalline Be3FeTc at its relaxed geometry, from Alexandria via LeMat-Bulk.

Lattice parameters (Å, degrees): 3.805 3.805 3.805 90.00 90.00 90.00
Last column: magnetic moment on the atom in μB.
Sites, in units of the cell vectors:
1 Be 0.000 0.500 0.000  -0.04
2 Be 0.500 0.000 0.000  -0.04
3 Be 0.000 0.000 0.500  -0.03
4 Tc 0.500 0.500 0.500  1.50
5 Fe 0.000 0.000 0.000  0.49

Summary:
D(E_F) (states/eV/atom): 0.53
Polymorph energy (0 for the lowest one) (meV per atom): 0
Space-group type: Pm-3m, No. 221

---

(6)
The following is a PBE calculation of crystalline BeFe2Tc at its relaxed geometry, from Alexandria via LeMat-Bulk.

Lattice parameters (Å, degrees): 6.212 6.212 4.971 51.33 51.33 90.00
Sites, in units of the cell vectors:
1 Tc 0.000 0.000 0.000
2 Tc 0.750 0.250 0.500
3 Be 0.250 0.750 0.500
4 Be 0.500 0.500 0.000
5 Fe 0.187 0.625 0.250
6 Fe 0.375 0.437 0.750
7 Fe 0.563 0.125 0.250
8 Fe 0.875 0.813 0.750

Summary:
D(E_F) (states/eV/atom): 1.69
Space-group type: I-42d, No. 122

---

(7)
The following is a PBE calculation of crystalline Be2FeTc at its relaxed geometry, from Alexandria via LeMat-Bulk.

Lattice parameters (Å, degrees): 7.898 7.898 7.898 18.84 18.84 18.84
Last column: magnetic moment on the atom in μB.
Sites, in units of the cell vectors:
1 Be 0.504 0.504 0.504  -0.03
2 Be 0.996 0.996 0.996  -0.03
3 Fe 0.250 0.250 0.250  1.96
4 Tc 0.750 0.750 0.750  0.04

Summary:
D(E_F) (states/eV/atom): 1.04
Polymorph energy (0 for the lowest one) (meV per atom): 266
Space-group type: R-3m, No. 166

---

(8)
The following is a PBE calculation of crystalline BeFeTc at its relaxed geometry, from Alexandria via LeMat-Bulk.

Lattice parameters (Å, degrees): 4.764 4.764 2.732 73.34 73.34 33.33
Sites, in units of the cell vectors:
1 Be 0.986 0.986 0.014
2 Fe 0.347 0.347 0.653
3 Tc 0.667 0.667 0.333

Summary:
D(E_F) (states/eV/atom): 0.57
Polymorph energy (0 for the lowest one) (meV per atom): 0
Space-group type: I4mm, No. 107

---

(9)
The following is a PBE calculation of crystalline BeFe2Tc at its relaxed geometry, from Alexandria via LeMat-Bulk.

Lattice parameters (Å, degrees): 3.952 2.494 4.824 75.30 90.00 90.00
Last column: magnetic moment on the atom in μB.
Sites, in units of the cell vectors:
1 Be 0.500 0.750 0.750  -0.04
2 Fe 0.000 0.513 0.515  1.98
3 Fe 0.000 0.987 0.985  1.98
4 Tc 0.500 0.250 0.250  -0.08

Summary:
D(E_F) (states/eV/atom): 0.98
Space-group type: P2/m, No. 10

---

(10)
The following is a PBE calculation of crystalline BeFeTc4 at its relaxed geometry, from Alexandria via LeMat-Bulk.

Lattice parameters (Å, degrees): 5.040 5.040 5.040 60.00 60.00 60.00
Last column: magnetic moment on the atom in μB.
Sites, in units of the cell vectors:
1 Fe 0.000 0.000 0.000  2.93
2 Tc 0.375 0.375 0.375  0.01
3 Tc 0.375 0.874 0.375  0.01
4 Tc 0.874 0.375 0.375  0.01
5 Tc 0.375 0.375 0.874  0.01
6 Be 0.750 0.750 0.750  -0.01

Summary:
D(E_F) (states/eV/atom): 0.90
Space-group type: F-43m, No. 216

---

(11)
The following is a PBE calculation of crystalline BeFe2Tc at its relaxed geometry, from Alexandria via LeMat-Bulk.

Lattice parameters (Å, degrees): 3.994 3.994 3.994 60.00 60.00 60.00
Last column: magnetic moment on the atom in μB.
Sites, in units of the cell vectors:
1 Fe 0.250 0.250 0.250  1.88
2 Fe 0.000 0.000 0.000  1.68
3 Be 0.500 0.500 0.500  -0.02
4 Tc 0.750 0.750 0.750  -0.29

Summary:
D(E_F) (states/eV/atom): 0.80
Space-group type: F-43m, No. 216

---

(12)
The following is a PBE calculation of crystalline Be2Fe5TcW2 at its relaxed geometry, from Alexandria via LeMat-Bulk.

Lattice parameters (Å, degrees): 3.133 8.512 8.512 90.00 90.00 90.00
Last column: magnetic moment on the atom in μB.
Sites, in units of the cell vectors:
1 Fe 0.500 0.212 0.070  0.90
2 Fe 0.500 0.430 0.288  0.90
3 Fe 0.500 0.788 0.930  0.90
4 Fe 0.500 0.000 0.500  -0.99
5 Fe 0.500 0.930 0.212  0.90
6 Fe 0.500 0.712 0.430  0.90
7 Fe 0.500 0.070 0.788  0.90
8 Fe 0.500 0.500 0.000  -0.99
9 Fe 0.500 0.570 0.712  0.90
10 Fe 0.500 0.288 0.570  0.90
11 W 0.000 0.324 0.824  -0.01
12 W 0.000 0.824 0.676  -0.01
13 W 0.000 0.176 0.324  -0.01
14 W 0.000 0.676 0.176  -0.01
15 Be 0.000 0.381 0.119  -0.01
16 Be 0.000 0.881 0.381  -0.01
17 Be 0.000 0.619 0.881  -0.01
18 Be 0.000 0.119 0.619  -0.01
19 Tc 0.000 0.000 0.000  0.10
20 Tc 0.000 0.500 0.500  0.10

Summary:
D(E_F) (states/eV/atom): 0.85
Space-group type: P4/mbm, No. 127

---

| no. | ρ (g/cm3) | DFT formation energy (eV/atom) |
| --- | --- | --- |
| 1 | 6.846 | -0.07 |
| 2 | 4.641 | -0.24 |
| 3 | 4.322 | 1.08 |
| 4 | 6.664 | -0.09 |
| 5 | 5.450 | 0.70 |
| 6 | 8.087 | 0.58 |
| 7 | 6.357 | 0.14 |
| 8 | 8.317 | -0.15 |
| 9 | 7.897 | 0.05 |
| 10 | 8.381 | 0.59 |
| 11 | 8.063 | 0.00 |
| 12 | 11.162 | 0.02 |